Version P
## Sr5U5O19 (PBE)

Data for Sr5U5O19 after structural relaxation.

Calculated values
M_tot	1.32	μB per formula unit

Cell lengths 6.6608, 6.6608, 17.2421 Å; angles 79.57, 79.57, 35.32 degrees
Closest atoms and distances in Å follow each position.
Fractional coordinates of all 29 atoms:
Sr 0.0995 0.0995 0.3003  8 O 2.55-2.65
Sr 0.7149 0.7149 0.0980  7 O 2.54-2.63
Sr 0.2893 0.2893 0.8997  7 O 2.52-2.65
Sr 0.9008 0.9008 0.6975  8 O 2.55-2.64
Sr 0.4996 0.4996 0.4995  8 O 2.56-2.62
U 0.2013 0.2013 0.5970  2 O 2.00-2.01
U 0.6037 0.6037 0.7895  2 O 1.98
U 0.7971 0.7971 0.4035  2 O 1.99-2.00
U 0.3957 0.3957 0.2121  3 O 1.99-2.18
U 0.9994 0.9994 0.9938  6 O 2.05-2.20
O 0.5511 0.5511 0.2164  1 U 1.99
O 0.1460 0.1460 0.0278  1 U 2.05
O 0.0521 0.0521 0.5756  1 U 2.00
O 0.4995 0.4995 0.9680  2 U 2.07
O 0.0980 0.0980 0.7236  3 U 2.32-2.33, 3 O 2.51-2.54
O 0.6502 0.6502 0.3769  1 U 2.00
O 0.2527 0.2527 0.1806  1 U 1.99
O 0.0907 0.0907 0.8719  3 U 2.20-2.46
O 0.6966 0.6966 0.5252  3 U 2.24-2.38, 3 O 2.49-2.50
O 0.2964 0.2964 0.3301  3 U 2.18-2.38
O 0.7036 0.7036 0.6686  3 U 2.22-2.37, 1 O 2.49
O 0.3028 0.3028 0.4736  3 U 2.27-2.36, 3 O 2.49-2.50
O 0.9158 0.9158 0.1163  1 U 2.17
O 0.3493 0.3493 0.6220  1 U 2.01
O 0.7479 0.7479 0.8171  1 U 1.98
O 0.9017 0.9017 0.2719  3 U 2.28-2.40, 2 O 2.52
O 0.9473 0.9473 0.4222  1 U 1.99
O 0.8482 0.8482 0.9680  1 U 2.05
O 0.4502 0.4502 0.7817  1 U 1.98

Version Q
## Sr5U5O19 (PBE)

Data for Sr5U5O19 after structural relaxation.

Calculated values
M_tot	2.08	μB per formula unit

Cell lengths 6.8665, 7.7815, 8.7737 Å; angles 99.67, 97.47, 107.33 degrees
Closest atoms and distances in Å follow each position.
Fractional coordinates of all 29 atoms:
Sr 0.8032 0.1040 0.6040  7 O 2.52-2.74
Sr 0.3830 0.2923 0.7976  7 O 2.46-2.67
Sr 0.6064 0.7027 0.2051  8 O 2.51-2.71
Sr 0.9975 0.5018 0.9969  7 O 2.49-2.68
Sr 0.2055 0.9055 0.3911  7 O 2.48-2.59
U 0.7815 0.5982 0.6011  4 O 2.00-2.19
U 0.5944 0.1991 0.1925  2 O 1.98-1.99
U 0.9960 0.0095 0.0043  2 O 2.00-2.01
U 0.4132 0.8053 0.8121  3 O 2.00-2.17
U 0.2045 0.3889 0.3914  3 O 2.01-2.17
O 0.3224 0.0331 0.9597  3 U 2.28-2.45, 1 O 2.50
O 0.4359 0.9779 0.6653  1 U 2.00
O 0.0308 0.2021 0.8748  1 U 2.01
O 0.7264 0.4031 0.7269  1 U 2.00
O 0.1588 0.1957 0.5217  1 U 2.01
O 0.3696 0.6122 0.9403  1 U 2.00
O 0.9384 0.2555 0.1794  3 U 2.28-2.41, 2 O 2.50-2.55
O 0.9306 0.4240 0.4713  2 U 2.17-2.19
O 0.7527 0.8400 0.7801  3 U 2.31-2.33, 1 O 2.53
O 0.5492 0.4354 0.3725  3 U 2.30-2.34, 1 O 2.53
O 0.4082 0.5723 0.6178  2 U 2.25-2.26
O 0.2542 0.1485 0.2245  3 U 2.30-2.31, 3 O 2.50-2.55, 1 Sr 2.55
O 0.0760 0.7120 0.7681  2 U 2.17-2.18
O 0.6296 0.3886 0.0647  1 U 1.98
O 0.8540 0.7922 0.4747  1 U 2.00
O 0.2472 0.5990 0.2799  1 U 2.01
O 0.9603 0.8030 0.1178  1 U 2.00
O 0.5754 0.0235 0.3354  1 U 1.99
O 0.6591 0.9623 0.0372  3 U 2.29-2.31, 3 O 2.50-2.57

Pick the least stable structure from those above. Pick: version P